(1)
Material: Tb8Pr2Tm3
Method: DFT, PBE-GGA
State: optimized geometry

Properties
Energy relative to the elements in eV/atom: 0.23
Symmetry: Cmmm, No. 65
Polymorph energy (0 for the lowest one) in eV per formula unit: 1.23
Size of the total moment in μB/cell: 0.00

Geometry as extended XYZ:
```
13
Lattice="5.449 -0.364 0.889 -0.454 9.002 6.453 -1.556 2.715 10.634" Properties=species:S:1:pos:R:3 pbc="T T T"
Tb -1.327 7.741 11.289
Tb 4.766 3.612 6.687
Tb -0.254 1.486 2.168
Tb 3.693 9.867 15.808
Tb 2.162 5.779 6.316
Tb 1.696 3.122 8.084
Tb 1.743 8.231 9.892
Tb 1.277 5.574 11.659
Pr 2.241 2.634 4.551
Pr 1.198 8.719 13.424
Tm 2.725 -0.182 0.445
Tm -1.241 4.514 9.437
Tm -0.770 7.203 7.649
```

(2)
Material: SnSbCI2
Method: DFT, PBE-GGA
State: optimized geometry

Properties
Symmetry: P4/mmm, No. 123
Energy relative to the elements, uncorrected in eV/atom: 0.977
Polymorph energy (0 for the lowest one) in eV per formula unit: 0.00
Size of the total moment in μB/cell: 0.00

Geometry as extended XYZ:
```
5
Lattice="-2.439 3.382 2.990 -4.227 -0.517 -2.862 -1.507 -3.637 2.883" Properties=species:S:1:pos:R:3 pbc="T T T"
I -2.113 -0.259 -1.431
I -1.219 1.691 1.495
Sb -0.754 -1.818 1.442
C 0.000 0.000 0.000
Sn -4.086 -0.386 1.506
```

| no. | total energy (eV/atom) |
| --- | --- |
| 1 | -4.387 |
| 2 | -3.113 |